# 1
Compound: Sm4In3Hg
Source: Alexandria via LeMat-Bulk
Functional: PBE
Structure: relaxed

**Calculated total energy**: -3.910 eV/atom
**DOS(E_F)**: 0.645 states/eV/atom
**Calculated volume**: 27.75 Å³/atom
**Total moment**: 0.000 μB/cell

Lattice parameters (Å, degrees): 3.608 3.608 17.058 90.00 90.00 90.00
Fractional positions:
Sm 0.000 0.000 0.877
Sm 0.000 0.000 0.625
Sm 0.000 0.000 0.375
Sm 0.000 0.000 0.123
In 0.500 0.500 0.752
In 0.500 0.500 0.248
In 0.500 0.500 0.500
Hg 0.500 0.500 0.000



# 2
Compound: Sm2InHg6
Source: Alexandria via LeMat-Bulk
Functional: PBE
Structure: relaxed

**Calculated total energy**: -1.855 eV/atom
**DOS(E_F)**: 0.497 states/eV/atom
**E above lowest polymorph**: 0 meV per atom
**Calculated volume**: 24.95 Å³/atom
**Total moment**: 0.000 μB/cell

Lattice parameters (Å, degrees): 5.136 5.136 9.830 90.01 90.00 120.00
Fractional positions:
Sm 0.333 0.667 0.724
Sm 0.667 0.333 0.276
In 0.000 0.000 0.500
Hg 0.000 0.000 0.159
Hg 0.333 0.667 0.066
Hg 0.333 0.667 0.392
Hg 0.000 0.000 0.841
Hg 0.667 0.333 0.608
Hg 0.667 0.333 0.934



# 3
Compound: Sm3In2Hg7
Source: Alexandria via LeMat-Bulk
Functional: PBE
Structure: relaxed

**Calculated total energy**: -2.064 eV/atom
**DOS(E_F)**: 0.734 states/eV/atom
**Calculated volume**: 27.73 Å³/atom
**Total moment**: 0.000 μB/cell

Lattice parameters (Å, degrees): 4.431 4.861 15.640 98.94 90.00 90.00
Fractional positions:
Sm 0.500 0.349 0.697
Sm 0.500 0.651 0.303
Sm 0.500 0.500 0.000
Hg 0.500 0.923 0.845
Hg 0.000 0.724 0.449
Hg 0.000 0.424 0.848
Hg 0.000 0.276 0.551
Hg 0.000 0.000 0.000
Hg 0.500 0.077 0.155
Hg 0.000 0.576 0.152
In 0.000 0.153 0.306
In 0.000 0.847 0.694



# 4
Compound: Sm2InHg3
Source: Alexandria via LeMat-Bulk
Functional: PBE
Structure: relaxed

**Calculated total energy**: -2.611 eV/atom
**DOS(E_F)**: 0.750 states/eV/atom
**Calculated volume**: 25.63 Å³/atom
**Total moment**: 0.038 μB/cell

Lattice parameters (Å, degrees): 6.136 6.136 9.340 102.85 102.85 108.84
Fractional positions:
Hg 0.665 0.168 0.833
Hg 0.167 0.167 0.334
Hg 0.168 0.665 0.833
Hg 0.832 0.335 0.167
Hg 0.335 0.832 0.167
Hg 0.833 0.833 0.666
Sm 0.250 0.750 0.500
Sm 0.755 0.755 0.000
Sm 0.245 0.245 0.000
Sm 0.750 0.250 0.500
In 0.333 0.333 0.667
In 0.667 0.667 0.333



# 5
Compound: Sm2InHg6
Source: Alexandria via LeMat-Bulk
Functional: PBE
Structure: relaxed

**Calculated total energy**: -1.803 eV/atom
**DOS(E_F)**: 0.618 states/eV/atom
**E above lowest polymorph**: 52 meV per atom
**Calculated volume**: 25.41 Å³/atom
**Total moment**: 0.000 μB/cell

Lattice parameters (Å, degrees): 5.893 6.689 6.689 60.13 90.23 90.23
Fractional positions:
Hg 0.321 0.816 0.368
Hg 0.679 0.632 0.184
Hg 0.321 0.368 0.816
Hg 0.680 0.184 0.184
Hg 0.320 0.816 0.816
Hg 0.679 0.184 0.632
Sm 0.186 0.333 0.333
Sm 0.814 0.667 0.667
In 0.000 0.000 0.000



# 6
Compound: Sm2In3Hg
Source: Alexandria via LeMat-Bulk
Functional: PBE
Structure: relaxed

**Calculated total energy**: -3.443 eV/atom
**DOS(E_F)**: 0.613 states/eV/atom
**E above lowest polymorph**: 0 meV per atom
**Calculated volume**: 26.20 Å³/atom
**Total moment**: 0.000 μB/cell

Lattice parameters (Å, degrees): 3.680 4.965 8.603 90.00 90.00 90.00
Fractional positions:
Hg 0.500 0.500 0.333
In 0.500 0.500 0.664
In 0.500 0.000 0.169
In 0.500 0.000 0.834
Sm 0.000 0.000 0.499
Sm 0.000 0.500 0.002



# 7
Compound: Sm2InHg4
Source: Alexandria via LeMat-Bulk
Functional: PBE
Structure: relaxed

**Calculated total energy**: -1.873 eV/atom
**DOS(E_F)**: 1.005 states/eV/atom
**E above lowest polymorph**: 365 meV per atom
**Calculated volume**: 32.83 Å³/atom
**Total moment**: 0.000 μB/cell

Lattice parameters (Å, degrees): 5.433 5.433 8.684 108.23 108.23 90.00
Fractional positions:
Hg 0.192 0.192 0.383
Hg 0.500 0.000 0.000
Hg 0.808 0.808 0.617
Hg 0.000 0.500 0.000
Sm 0.613 0.613 0.227
Sm 0.387 0.387 0.773
In 0.000 0.000 0.000



# 8
Compound: Sm3In2Hg8
Source: Alexandria via LeMat-Bulk
Functional: PBE
Structure: relaxed

**Calculated total energy**: -1.816 eV/atom
**DOS(E_F)**: 0.803 states/eV/atom
**Calculated volume**: 27.62 Å³/atom
**Total moment**: 0.000 μB/cell

Lattice parameters (Å, degrees): 6.087 6.087 11.728 74.96 74.96 60.00
Fractional positions:
In 0.634 0.634 0.099
In 0.366 0.366 0.901
Sm 0.189 0.189 0.433
Sm 0.000 0.000 0.000
Sm 0.811 0.811 0.567
Hg 0.275 0.775 0.676
Hg 0.275 0.275 0.676
Hg 0.281 0.281 0.156
Hg 0.725 0.225 0.324
Hg 0.775 0.275 0.676
Hg 0.725 0.725 0.324
Hg 0.719 0.719 0.844
Hg 0.225 0.725 0.324



# 9
Compound: SmIn5Hg4
Source: Alexandria via LeMat-Bulk
Functional: PBE
Structure: relaxed

**Calculated total energy**: -2.106 eV/atom
**DOS(E_F)**: 0.393 states/eV/atom
**Calculated volume**: 27.55 Å³/atom
**Total moment**: 0.000 μB/cell

Lattice parameters (Å, degrees): 5.007 7.152 8.829 113.24 106.96 89.97
Fractional positions:
In 0.679 0.438 0.360
In 0.160 0.144 0.319
In 0.500 0.500 0.000
In 0.840 0.856 0.681
In 0.321 0.562 0.640
Hg 0.330 0.106 0.657
Hg 0.670 0.894 0.343
Hg 0.007 0.285 0.014
Hg 0.993 0.715 0.986
Sm 0.500 0.000 0.000



# 10
Compound: Sm5In2Hg2
Source: Alexandria via LeMat-Bulk
Functional: PBE
Structure: relaxed

**Calculated total energy**: -3.660 eV/atom
**DOS(E_F)**: 0.860 states/eV/atom
**Calculated volume**: 30.13 Å³/atom
**Total moment**: 0.000 μB/cell

Lattice parameters (Å, degrees): 7.414 8.769 9.425 117.72 90.00 90.00
Fractional positions:
Sm 0.339 0.953 0.281
Sm 0.661 0.047 0.719
Sm 0.839 0.828 0.281
Sm 0.839 0.547 0.719
Sm 0.161 0.453 0.281
Sm 0.500 0.500 0.000
Sm 0.161 0.172 0.719
Sm 0.339 0.672 0.719
Sm 0.661 0.328 0.281
Sm 0.000 0.000 0.000
Hg 0.382 0.141 0.000
Hg 0.118 0.641 0.000
Hg 0.618 0.859 0.000
Hg 0.882 0.359 0.000
In 0.500 0.710 0.420
In 0.500 0.290 0.580
In 0.000 0.210 0.420
In 0.000 0.790 0.580



# 11
Compound: Sm6InHg2
Source: Alexandria via LeMat-Bulk
Functional: PBE
Structure: relaxed

**Calculated total energy**: -3.794 eV/atom
**DOS(E_F)**: 1.230 states/eV/atom
**E above lowest polymorph**: 19 meV per atom
**Calculated volume**: 30.78 Å³/atom
**Total moment**: 0.000 μB/cell

Lattice parameters (Å, degrees): 8.963 8.963 8.963 108.10 110.67 109.66
Fractional positions:
Sm 0.200 0.249 0.449
Sm 0.200 0.751 0.950
Sm 0.550 0.730 0.821
Sm 0.276 0.952 0.676
Sm 0.450 0.270 0.179
Sm 0.909 0.730 0.179
Sm 0.091 0.270 0.821
Sm 0.276 0.601 0.324
Sm 0.800 0.249 0.050
Sm 0.724 0.399 0.676
Sm 0.724 0.048 0.324
Sm 0.800 0.751 0.551
Hg 0.352 0.000 0.352
Hg 0.500 0.637 0.137
Hg 0.500 0.363 0.863
Hg 0.648 0.000 0.648
In 0.000 0.500 0.500
In 0.000 0.000 0.000



# 12
Compound: Sm4In5Hg
Source: Alexandria via LeMat-Bulk
Functional: PBE
Structure: relaxed

**Calculated total energy**: -3.463 eV/atom
**DOS(E_F)**: 0.901 states/eV/atom
**Calculated volume**: 29.82 Å³/atom
**Total moment**: 0.000 μB/cell

Lattice parameters (Å, degrees): 7.657 10.337 7.535 90.00 90.00 90.00
Fractional positions:
In 0.829 0.312 0.694
In 0.829 0.688 0.694
In 0.171 0.812 0.194
In 0.171 0.812 0.806
In 0.829 0.688 0.306
In 0.171 0.188 0.806
In 0.829 0.312 0.306
In 0.121 0.000 0.500
In 0.171 0.188 0.194
In 0.879 0.500 0.000
Sm 0.208 0.500 0.257
Sm 0.792 0.000 0.243
Sm 0.208 0.500 0.743
Sm 0.524 0.310 0.000
Sm 0.476 0.810 0.500
Sm 0.524 0.690 0.000
Sm 0.792 0.000 0.757
Sm 0.476 0.190 0.500
Hg 0.452 0.000 0.000
Hg 0.548 0.500 0.500



Number 1: E_form -11.2 kcal/mol of atoms. Number 2: E_form -6.9 kcal/mol of atoms. Number 3: E_form -5.8 kcal/mol of atoms. Number 4: E_form -9.9 kcal/mol of atoms. Number 5: E_form -5.7 kcal/mol of atoms. Number 6: E_form -10.4 kcal/mol of atoms. Number 7: E_form 0.9 kcal/mol of atoms. Number 8: E_form -2.8 kcal/mol of atoms. Number 9: E_form -3.3 kcal/mol of atoms. Number 10: E_form -8.4 kcal/mol of atoms. Number 11: E_form -6.4 kcal/mol of atoms. Number 12: E_form -4.0 kcal/mol of atoms.